A plane-wave DFT calculation with GGA+U was carried out for crystalline In2WOF at its relaxed geometry.

For the final energy, the calculation gives -16.88 eV for the cell shown. Its space-group type is P4/mmm, No. 123.

Cell: 4.458 4.458 4.415 Å, 90.00 90.00 90.00°
Sites, in units of the cell vectors:
In 0.000 0.500 0.000
In 0.500 0.000 0.000
W 0.000 0.000 0.500
O 0.500 0.500 0.500
F 0.500 0.500 0.000